Record 1
A relaxed Nb6InGa crystal, computed with PBE.

The value obtained for the formation energy is -0.088 eV per atom. For the total magnetic moment, the calculation gives 0.00 Bohr magnetons per cell.

The structure belongs to space group P-1 (No. 2); the cell edges are 5.261, 5.272 and 5.279 Å and the angles 90.49°, 90.37° and 90.03°. The inequivalent atoms are Nb at (0.005, 0.256, 0.015), Nb at (0.245, 0.987, 0.493), Nb at (0.490, 0.489, 0.745), In at (0.500, 0.000, 0.000) and Ga at (0.000, 0.500, 0.500).

***

Record 2
A relaxed NbInGa2 crystal, computed with PBE.

The value obtained for the formation energy is 0.287 eV per atom. For the total magnetic moment, the calculation gives 0.00 Bohr magnetons per cell.

The structure belongs to space group I-42d (No. 122); the cell edges are 7.476, 7.476 and 5.761 Å and the angles 90.00°, 90.00° and 90.00°. The inequivalent atoms are Nb at (0.000, 0.000, 0.000), In at (0.000, 0.000, 0.500) and Ga at (0.241, 0.250, 0.125).

***

Record 3
A relaxed NbInGa2 crystal, computed with PBE.

The value obtained for the formation energy is 0.138 eV per atom. For the total magnetic moment, the calculation gives 0.00 Bohr magnetons per cell.

The structure belongs to space group R3m (No. 160, hexagonal axes); the cell edges are 4.2164, 4.2164 and 15.9872 Å and the angles 90.00°, 90.00° and 120.00°. The inequivalent atoms are Nb at (0.0000, 0.0000, 0.0000), In at (0.0000, 0.0000, 0.8138), Ga at (0.0000, 0.0000, 0.3994) and Ga at (0.0000, 0.0000, 0.5880).

***

Record 4
A relaxed Nb12InGa3 crystal, computed with PBE.

The value obtained for the formation energy is -0.142 eV per atom. For the total magnetic moment, the calculation gives 0.00 Bohr magnetons per cell.

The structure belongs to space group Pmmm (No. 47); the cell edges are 5.240, 5.249 and 10.429 Å and the angles 90.00°, 90.00° and 90.00°. The inequivalent atoms are Nb at (0.000, 0.000, 0.124), Nb at (0.000, 0.000, 0.370), Nb at (0.243, 0.500, 0.500), Nb at (0.255, 0.500, 0.000), Nb at (0.500, 0.253, 0.243), In at (0.500, 0.000, 0.500), Ga at (0.000, 0.500, 0.250) and Ga at (0.500, 0.000, 0.000).

***

Record 5
A relaxed Nb6InGa3 crystal, computed with PBE.

The value obtained for the formation energy is 0.041 eV per atom. For the total magnetic moment, the calculation gives 0.00 Bohr magnetons per cell.

The structure belongs to space group P2_1/c (No. 14); the cell edges are 7.041, 6.758 and 10.185 Å and the angles 90.00°, 130.04° and 90.00°. The inequivalent atoms are Nb at (0.039, 0.134, 0.306), Nb at (0.272, 0.164, 0.707), Nb at (0.410, 0.635, 0.859), In at (0.000, 0.000, 0.000), Ga at (0.258, 0.672, 0.052) and Ga at (0.500, 0.000, 0.000).

***

Record 6
A relaxed Nb12In3Ga crystal, computed with PBE.

The value obtained for the formation energy is -0.041 eV per atom. For the total magnetic moment, the calculation gives 0.00 Bohr magnetons per cell.

The structure belongs to space group Pmmm (No. 47); the cell edges are 5.311, 5.318 and 10.573 Å and the angles 90.00°, 90.00° and 90.00°. The inequivalent atoms are Nb at (0.000, 0.000, 0.122), Nb at (0.000, 0.000, 0.373), Nb at (0.248, 0.500, 0.500), Nb at (0.260, 0.500, 0.000), Nb at (0.500, 0.248, 0.242), In at (0.000, 0.500, 0.250), In at (0.500, 0.000, 0.500) and Ga at (0.500, 0.000, 0.000).

***

Record 7
A relaxed NbInGa3 crystal, computed with PBE.

The value obtained for the formation energy is 0.404 eV per atom. For the total magnetic moment, the calculation gives 0.00 Bohr magnetons per cell.

The structure belongs to space group Pm-3m (No. 221); the cell edges are 5.120, 5.120 and 5.120 Å and the angles 90.00°, 90.00° and 90.00°. The inequivalent atoms are Nb at (0.000, 0.000, 0.000), In at (0.500, 0.500, 0.500) and Ga at (0.000, 0.000, 0.500).

***

Record 8
A relaxed Nb2In2Ga crystal, computed with PBE.

The value obtained for the formation energy is 0.035 eV per atom. For the total magnetic moment, the calculation gives 0.00 Bohr magnetons per cell.

The structure belongs to space group P4/mbm (No. 127); the cell edges are 6.829, 6.829 and 4.460 Å and the angles 90.00°, 90.00° and 90.00°. The inequivalent atoms are Nb at (0.146, 0.354, 0.000), In at (0.160, 0.660, 0.500) and Ga at (0.000, 0.000, 0.000).